Record 1
Cu2SiBS4 | PBE | optimized geometry

The value obtained for the total magnetic moment is 0.000 μB per cell. The value obtained for the uncorrected formation energy is -234 meV/atom. Its space group is P1, No. 1. As for the volume: 127.92 Å³/cell.

Lattice parameters (Å, degrees): 4.8439 5.3240 5.8240 67.62 68.16 88.01
Fractional coordinates of all 8 atoms:
Cu  0.0000  0.0000  0.0000
Cu  0.2569  0.7383  0.5541
Si  0.7942  0.2035  0.5934
B  0.4684  0.4387  0.0890
S  0.1387  0.5912  0.2759
S  0.3801  0.3433  0.8301
S  0.5982  0.1270  0.3150
S  0.7826  0.7576  0.8468

=====

Record 2
NaLaMn | PBE | optimized geometry

The value obtained for the total magnetic moment is 0.215 μB per cell. The relative energy among the computed polymorphs comes out at 0.2493 eV per atom. Its space group is Cm, No. 8. The formation energy from the elements is 344 meV/atom. As for the volume: 172.12 Å³/cell.

Lattice parameters (Å, degrees): 5.5113 5.5113 9.5546 103.64 103.64 37.76
Fractional coordinates of all 6 atoms:
Na  0.0000  0.0000  0.0000
Na  0.2250  0.2250  0.8172
La  0.4375  0.4375  0.5747
La  0.7827  0.7827  0.2413
Mn  0.1085  0.1085  0.3904
Mn  0.6960  0.6960  0.5189

=====

Record 3
YMgH6Rh2 | PBE | optimized geometry

The value obtained for the total magnetic moment is 0.000 μB per cell. Its space group is R-3m, No. 166. Its calculated total energy is -0.1721 hartree per atom. As for the volume: 92.78 Å³/cell.

Lattice parameters (Å, degrees): 5.7905 5.7905 5.7905 46.35 46.35 46.35
Fractional coordinates of all 10 atoms:
Y  0.0000  0.0000  0.0000
Mg  0.5000  0.5000  0.5000
H  0.0591  0.5604  0.5604
H  0.4396  0.4396  0.9409
H  0.4396  0.9409  0.4396
H  0.5604  0.0591  0.5604
H  0.5604  0.5604  0.0591
H  0.9409  0.4396  0.4396
Rh  0.2094  0.2094  0.2094
Rh  0.7906  0.7906  0.7906

=====

Record 4
SbRuN2F | PBE | optimized geometry

The value obtained for the total magnetic moment is 3.414 μB per cell. The value obtained for the uncorrected formation energy is 1051 meV/atom. The relative energy among the computed polymorphs comes out at 0.6266 eV per atom. Its space group is P4/mmm, No. 123. As for the volume: 68.17 Å³/cell.

Lattice parameters (Å, degrees): 4.0958 4.0958 4.0639 90.00 90.00 90.00
Fractional coordinates of all 5 atoms:
Sb  0.0000  0.0000  0.0000
Ru  0.5000  0.5000  0.5000
N  0.0000  0.5000  0.0000
N  0.5000  0.0000  0.0000
F  0.0000  0.0000  0.5000

=====

What did the second record say?
NaLaMn | PBE | optimized geometry

The value obtained for the total magnetic moment is 0.215 μB per cell. The relative energy among the computed polymorphs comes out at 0.2493 eV per atom. Its space group is Cm, No. 8. The formation energy from the elements is 344 meV/atom. As for the volume: 172.12 Å³/cell.

Lattice parameters (Å, degrees): 5.5113 5.5113 9.5546 103.64 103.64 37.76
Fractional coordinates of all 6 atoms:
Na  0.0000  0.0000  0.0000
Na  0.2250  0.2250  0.8172
La  0.4375  0.4375  0.5747
La  0.7827  0.7827  0.2413
Mn  0.1085  0.1085  0.3904
Mn  0.6960  0.6960  0.5189

=====

- Number 3 is which compound?
  YMgH6Rh2

=====

- Among the records above, which one has the highest total magnetic moment?
  SbRuN2F